(1)
The following is a meta-GGA SCAN calculation of a PBEsol-optimized structure of Rb2ZnCl4, from Alexandria.

a b c (Å): 9.2079 7.0747 12.8518
angles (deg): 90.00 90.00 90.00
Closest atoms and distances in Å follow each position.
Space group Pnma (No. 62)
Asymmetric unit:
Rb 0.0181 0.2500 0.1767 [4 per cell]  7 Cl 3.25-3.36
Rb 0.1253 0.7500 0.4257 [4 per cell]  8 Cl 3.29-3.59
Zn 0.2245 0.7500 0.0738 [4 per cell]  4 Cl 2.23-2.27
Cl 0.0178 0.2500 0.9165 [4 per cell]  1 Zn 2.23
Cl 0.1762 0.5054 0.6509 [8 per cell]  1 Zn 2.25
Cl 0.1857 0.2500 0.4093 [4 per cell]  1 Zn 2.27

Properties
Crystal system: orthorhombic
V, Å³/atom: 29.9

***

(2)
The following is a meta-GGA SCAN calculation of a PBEsol-optimized structure of Rb3ZrCl, from Alexandria.

a b c (Å): 6.2434 6.2434 6.2434
angles (deg): 90.00 90.00 90.00
Closest atoms and distances in Å follow each position.
Space group Pm-3m (No. 221)
Asymmetric unit:
Rb 0.0000 0.0000 0.5000 [3 per cell]  2 Cl 3.12
Zr 0.5000 0.5000 0.5000 [1 per cell]  12 Rb 4.41
Cl 0.0000 0.0000 0.0000 [1 per cell]  6 Rb 3.12

Properties
Crystal system: cubic
V, Å³/atom: 48.7

***

We obtain raw total energy values of -14.276, -20.216 eV per atom for the records listed above, in that order.